[1]
DFT (PBE) results for a relaxed LaHoZn2Au5 crystal.

```
LaHoZn2Au5
1.0
4.589 0.000 0.000
0.000 4.589 0.000
0.000 0.000 9.035
La Ho Zn Au
1 1 2 5
Direct
0.000 0.000 0.000 La
0.000 0.000 0.500 Ho
0.500 0.500 0.368 Zn
0.500 0.500 0.632 Zn
0.000 0.500 0.242 Au
0.000 0.500 0.758 Au
0.500 0.000 0.242 Au
0.500 0.000 0.758 Au
0.500 0.500 0.000 Au
```

Calculated values
- E_tot (eV for the cell shown) = -32.887

---

[2]
DFT (PBE) results for a relaxed Tl4CrBr7 crystal.

```
Tl4CrBr7
1.0
10.783 -2.565 0.000
10.783 2.565 0.000
-2.210 0.000 7.586
Tl Cr Br
4 1 7
Direct
0.076 0.076 0.156 Tl
0.182 0.182 0.759 Tl
0.818 0.818 0.241 Tl
0.924 0.924 0.844 Tl
0.500 0.500 0.500 Cr
0.000 0.000 0.500 Br
0.220 0.220 0.182 Br
0.394 0.394 0.575 Br
0.438 0.438 0.177 Br
0.562 0.562 0.823 Br
0.606 0.606 0.425 Br
0.780 0.780 0.818 Br
```

Calculated values
- formation energy from raw total energies (eV per formula unit) = -9.45

---

[3]
DFT (PBE) results for a relaxed LaSbH3 crystal.

```
LaSbH3
1.0
4.154 0.000 0.000
0.000 4.154 0.000
0.000 0.000 4.154
La Sb H
1 1 3
Direct
0.000 0.000 0.000 La
0.500 0.500 0.500 Sb
0.000 0.500 0.500 H
0.500 0.000 0.500 H
0.500 0.500 0.000 H
```

Calculated values
- E above lowest polymorph (meV per atom) = 107

---

[4]
DFT (PBE) results for a relaxed Cs3Pa2Se5I2 crystal.

```
Cs3Pa2Se5I2
1.0
-2.792 2.792 15.448
2.792 -2.792 15.448
2.792 2.792 -15.448
Cs Pa Se I
3 2 5 2
Direct
0.000 0.000 0.000 Cs
0.175 0.175 0.000 Cs
0.825 0.825 0.000 Cs
0.411 0.411 0.000 Pa
0.589 0.589 0.000 Pa
0.093 0.593 0.500 Se
0.407 0.907 0.500 Se
0.500 0.500 0.000 Se
0.593 0.093 0.500 Se
0.907 0.407 0.500 Se
0.307 0.307 0.000 I
0.693 0.693 0.000 I
```

Calculated values
- formation energy from raw total energies (eV per formula unit) = -16.98

---

[5]
DFT (PBE) results for a relaxed MnAlAs2 crystal.

```
MnAlAs2
1.0
3.822 0.000 0.000
0.000 3.612 0.000
-1.871 0.000 5.140
Mn Al As
1 1 2
Direct
0.000 0.000 0.000 Mn
0.500 0.000 0.500 Al
0.252 0.500 0.773 As
0.748 0.500 0.227 As
```

Calculated values
- E_tot (eV for the cell shown) = -21.993

---

[6]
DFT (PBE) results for a relaxed ZrNi6Ge2 crystal.

```
ZrNi6Ge2
1.0
3.748 0.000 0.000
0.000 3.748 0.000
0.000 0.000 8.429
Zr Ni Ge
1 6 2
Direct
0.000 0.000 0.000 Zr
0.000 0.000 0.500 Ni
0.000 0.500 0.306 Ni
0.000 0.500 0.694 Ni
0.500 0.000 0.306 Ni
0.500 0.000 0.694 Ni
0.500 0.500 0.500 Ni
0.500 0.500 0.145 Ge
0.500 0.500 0.855 Ge
```

Calculated values
- E_tot (eV for the cell shown) = -54.694

---

Copy entry 2 word for word.
DFT (PBE) results for a relaxed Tl4CrBr7 crystal.

```
Tl4CrBr7
1.0
10.783 -2.565 0.000
10.783 2.565 0.000
-2.210 0.000 7.586
Tl Cr Br
4 1 7
Direct
0.076 0.076 0.156 Tl
0.182 0.182 0.759 Tl
0.818 0.818 0.241 Tl
0.924 0.924 0.844 Tl
0.500 0.500 0.500 Cr
0.000 0.000 0.500 Br
0.220 0.220 0.182 Br
0.394 0.394 0.575 Br
0.438 0.438 0.177 Br
0.562 0.562 0.823 Br
0.606 0.606 0.425 Br
0.780 0.780 0.818 Br
```

Calculated values
- formation energy from raw total energies (eV per formula unit) = -9.45